[1]
Crystalline HoThZrCd at its relaxed geometry, computed with GGA-PBE.

Summary:
Formation energy ... 0.0591 eV per atom
Symmetry ... No. 216
Calculated density ... 9.26 g/cm3
Density of states at the Fermi level ... 6.371 states/eV per cell
Crystal system ... cubic

Lattice parameters (Å, degrees): 5.340 5.340 5.340 60.00 60.00 60.00
Each line ends with the local moment (μB).
Atoms (fractional coordinates):
Zr (0.250, 0.250, 0.250)  0.40
Ho (0.500, 0.500, 0.500)  0.15
Th (0.000, 0.000, 0.000)  0.10
Cd (0.750, 0.750, 0.750)  -0.01


[2]
Crystalline K3Np3ScTe8 at its relaxed geometry, computed with GGA-PBE.

Summary:
Energy relative to the elements, uncorrected ... -89 kJ/mol of atoms
Symmetry ... No. 12
Calculated density ... 5.46 g/cm3
Density of states at the Fermi level ... 24.811 states/eV per cell
Crystal system ... monoclinic

Lattice parameters (Å, degrees): 8.841 8.836 8.516 89.75 90.00 120.02
Each line ends with the local moment (μB).
Atoms (fractional coordinates):
K (0.000, 0.000, 0.000)  0.00
K (0.000, 0.500, 0.000)  0.00
K (0.500, 0.500, 0.000)  0.00
Np (0.500, 0.000, 0.500)  3.82
Np (0.500, 0.500, 0.500)  3.82
Np (0.000, 0.500, 0.500)  3.82
Sc (0.000, 0.000, 0.500)  0.06
Te (0.161, 0.322, 0.704)  -0.07
Te (0.839, 0.678, 0.296)  -0.07
Te (0.666, 0.332, 0.706)  -0.10
Te (0.334, 0.668, 0.294)  -0.10
Te (0.321, 0.162, 0.302)  -0.08
Te (0.679, 0.838, 0.698)  -0.08
Te (0.841, 0.162, 0.302)  -0.08
Te (0.159, 0.838, 0.698)  -0.08


Which formula does entry 2 have? K3Np3ScTe8


What is the formula in the first record? HoThZrCd


Please write out number 1 again, unchanged.
Crystalline HoThZrCd at its relaxed geometry, computed with GGA-PBE.

Summary:
Formation energy ... 0.0591 eV per atom
Symmetry ... No. 216
Calculated density ... 9.26 g/cm3
Density of states at the Fermi level ... 6.371 states/eV per cell
Crystal system ... cubic

Lattice parameters (Å, degrees): 5.340 5.340 5.340 60.00 60.00 60.00
Each line ends with the local moment (μB).
Atoms (fractional coordinates):
Zr (0.250, 0.250, 0.250)  0.40
Ho (0.500, 0.500, 0.500)  0.15
Th (0.000, 0.000, 0.000)  0.10
Cd (0.750, 0.750, 0.750)  -0.01


Among the records above, which one has the lowest calculated density? K3Np3ScTe8